# TaCoP2O

A crystal of TaCoP2O relaxed with PBEsol (SCAN, Alexandria via LeMat-Bulk).

Geometry as POSCAR:
```
TaCoP2O
1.0
4.5332 0.0000 0.0000
0.0000 4.5332 0.0000
0.0000 0.0000 3.3110
Ta Co P O
1 1 2 1
Direct
0.0000 0.0000 0.0000
0.5000 0.5000 0.5000
0.0000 0.5000 0.5000
0.5000 0.0000 0.5000
0.5000 0.5000 0.0000
```

Output
Its energy above the most stable polymorph in this dataset is 0.280 eV per atom.



# Ti3VCo2P6O24

A crystal of Ti3VCo2P6O24 relaxed with PBEsol (SCAN, Alexandria via LeMat-Bulk).

Geometry as POSCAR:
```
Ti3VCo2P6O24
1.0
4.2915 2.4777 6.7486
-4.2915 2.4777 6.7486
0.0000 -4.9554 6.7486
Ti V Co P O
3 1 2 6 24
Direct
0.0000 0.0000 0.0000
0.2217 0.2217 0.2217
0.7207 0.7207 0.7207
0.4987 0.4987 0.4987
0.3570 0.3570 0.3570
0.8608 0.8608 0.8608
0.1124 0.8176 0.4016
0.3193 0.6108 0.8973
0.4016 0.1124 0.8176
0.6108 0.8973 0.3193
0.8176 0.4016 0.1124
0.8973 0.3193 0.6108
0.0393 0.8655 0.2420
0.0961 0.3066 0.4515
0.1208 0.7703 0.9163
0.1812 0.9786 0.3569
0.2420 0.0393 0.8655
0.2704 0.6199 0.4125
0.3066 0.4515 0.0961
0.3569 0.1812 0.9786
0.3582 0.5425 0.7400
0.4125 0.2704 0.6199
0.4515 0.0961 0.3066
0.4790 0.6816 0.8536
0.5425 0.7400 0.3582
0.5995 0.9521 0.8044
0.6199 0.4125 0.2704
0.6816 0.8536 0.4790
0.7400 0.3582 0.5425
0.7703 0.9163 0.1208
0.8044 0.5995 0.9521
0.8536 0.4790 0.6816
0.8655 0.2420 0.0393
0.9163 0.1208 0.7703
0.9521 0.8044 0.5995
0.9786 0.3569 0.1812
```



# Ti3Co2P6WO24

A crystal of Ti3Co2P6WO24 relaxed with PBEsol (SCAN, Alexandria via LeMat-Bulk).

Geometry as POSCAR:
```
Ti3Co2P6WO24
1.0
4.3296 2.4997 6.7676
-4.3296 2.4997 6.7676
0.0000 -4.9994 6.7676
Ti Co P W O
3 2 6 1 24
Direct
0.0000 0.0000 0.0000
0.2236 0.2236 0.2236
0.5014 0.5014 0.5014
0.3599 0.3599 0.3599
0.8690 0.8690 0.8690
0.1169 0.3977 0.8209
0.3220 0.9039 0.6101
0.3977 0.8209 0.1169
0.6101 0.3220 0.9039
0.8209 0.1169 0.3977
0.9039 0.6101 0.3220
0.7259 0.7259 0.7259
0.0421 0.2429 0.8646
0.1001 0.4529 0.3055
0.1280 0.9169 0.7704
0.1856 0.3553 0.9797
0.2429 0.8646 0.0421
0.2731 0.4138 0.6241
0.3055 0.1001 0.4529
0.3553 0.9797 0.1856
0.3681 0.7426 0.5432
0.4138 0.6241 0.2731
0.4529 0.3055 0.1001
0.4808 0.8670 0.6775
0.5432 0.3681 0.7426
0.5974 0.8082 0.9589
0.6241 0.2731 0.4138
0.6775 0.4808 0.8670
0.7426 0.5432 0.3681
0.7704 0.1280 0.9169
0.8082 0.9589 0.5974
0.8646 0.0421 0.2429
0.8670 0.6775 0.4808
0.9169 0.7704 0.1280
0.9589 0.5974 0.8082
0.9797 0.1856 0.3553
```



# V5CoP6O24

A crystal of V5CoP6O24 relaxed with PBEsol (SCAN, Alexandria via LeMat-Bulk).

Geometry as POSCAR:
```
V5CoP6O24
1.0
4.2732 2.4672 6.6208
-4.2732 2.4672 6.6208
0.0000 -4.9343 6.6208
V Co P O
5 1 6 24
Direct
0.0000 0.0000 0.0000
0.1394 0.1394 0.1394
0.4978 0.4978 0.4978
0.6387 0.6387 0.6387
0.7791 0.7791 0.7791
0.2771 0.2771 0.2771
0.0952 0.6788 0.3861
0.1801 0.5979 0.8865
0.3861 0.0952 0.6788
0.5979 0.8865 0.1801
0.6788 0.3861 0.0952
0.8865 0.1801 0.5979
0.0257 0.6517 0.8017
0.0377 0.1862 0.3962
0.0814 0.8869 0.2330
0.1249 0.5293 0.3122
0.1402 0.7580 0.9563
0.1862 0.3962 0.0377
0.2330 0.0814 0.8869
0.2549 0.6353 0.4590
0.3122 0.1249 0.5293
0.3862 0.5796 0.7315
0.3962 0.0377 0.1862
0.4590 0.2549 0.6353
0.5293 0.3122 0.1249
0.5441 0.8897 0.7032
0.5796 0.7315 0.3862
0.6353 0.4590 0.2549
0.6517 0.8017 0.0257
0.7032 0.5441 0.8897
0.7315 0.3862 0.5796
0.7580 0.9563 0.1402
0.8017 0.0257 0.6517
0.8869 0.2330 0.0814
0.8897 0.7032 0.5441
0.9563 0.1402 0.7580
```



# V3Co2P6WO24

A crystal of V3Co2P6WO24 relaxed with PBEsol (SCAN, Alexandria via LeMat-Bulk).

Geometry as POSCAR:
```
V3Co2P6WO24
1.0
4.2976 2.4812 6.7446
-4.2976 2.4812 6.7446
0.0000 -4.9624 6.7446
V Co P W O
3 2 6 1 24
Direct
0.0000 0.0000 0.0000
0.2233 0.2233 0.2233
0.7219 0.7219 0.7219
0.3653 0.3653 0.3653
0.8619 0.8619 0.8619
0.1032 0.8308 0.4024
0.3197 0.6127 0.9079
0.4024 0.1032 0.8308
0.6127 0.9079 0.3197
0.8308 0.4024 0.1032
0.9079 0.3197 0.6127
0.4990 0.4990 0.4990
0.0453 0.8615 0.2414
0.1031 0.3061 0.4523
0.1226 0.7700 0.9154
0.1791 0.9828 0.3624
0.2414 0.0453 0.8615
0.2661 0.6269 0.4237
0.3061 0.4523 0.1031
0.3624 0.1791 0.9828
0.3659 0.5418 0.7432
0.4237 0.2661 0.6269
0.4523 0.1031 0.3061
0.4807 0.6799 0.8605
0.5418 0.7432 0.3659
0.6014 0.9484 0.8094
0.6269 0.4237 0.2661
0.6799 0.8605 0.4807
0.7432 0.3659 0.5418
0.7700 0.9154 0.1226
0.8094 0.6014 0.9484
0.8605 0.4807 0.6799
0.8615 0.2414 0.0453
0.9154 0.1226 0.7700
0.9484 0.8094 0.6014
0.9828 0.3624 0.1791
```



# ZnCo3P4O14

A crystal of ZnCo3P4O14 relaxed with PBEsol (SCAN, Alexandria via LeMat-Bulk).

Geometry as POSCAR:
```
ZnCo3P4O14
1.0
7.1351 0.0000 0.0000
0.0000 7.2170 0.0000
-3.6080 0.0000 8.8680
Zn Co P O
2 6 8 28
Direct
0.0000 0.0000 0.0000
0.0000 0.5000 0.5000
0.3233 0.1429 0.4840
0.3233 0.3571 0.9840
0.5000 0.0000 0.0000
0.5000 0.5000 0.5000
0.6767 0.6429 0.0160
0.6767 0.8571 0.5160
0.0736 0.0889 0.6956
0.0736 0.4111 0.1956
0.3626 0.7039 0.1850
0.3626 0.7961 0.6850
0.6374 0.2039 0.3150
0.6374 0.2961 0.8150
0.9264 0.5889 0.8044
0.9264 0.9111 0.3044
0.1285 0.2392 0.6049
0.1285 0.2608 0.1049
0.1475 0.5481 0.8446
0.1475 0.9519 0.3446
0.1534 0.6049 0.1574
0.1534 0.8951 0.6574
0.1864 0.1149 0.8695
0.1864 0.3851 0.3695
0.3028 0.6112 0.6021
0.3028 0.8888 0.1021
0.4684 0.7089 0.3580
0.4684 0.7911 0.8580
0.4766 0.5813 0.1135
0.4766 0.9187 0.6135
0.5234 0.0813 0.3865
0.5234 0.4187 0.8865
0.5316 0.2089 0.1420
0.5316 0.2911 0.6420
0.6972 0.1112 0.8979
0.6972 0.3888 0.3979
0.8136 0.6149 0.6305
0.8136 0.8851 0.1305
0.8466 0.1049 0.3426
0.8466 0.3951 0.8426
0.8525 0.0481 0.6554
0.8525 0.4519 0.1554
0.8715 0.7392 0.8951
0.8715 0.7608 0.3951
```



# ZnCoP2O7

A crystal of ZnCoP2O7 relaxed with PBEsol (SCAN, Alexandria via LeMat-Bulk).

Geometry as POSCAR:
```
ZnCoP2O7
1.0
6.1160 0.0000 0.0000
0.9845 6.2797 0.0000
1.5430 2.3622 6.2128
Zn Co P O
2 2 4 14
Direct
0.0511 0.2230 0.2850
0.9489 0.7770 0.7150
0.3571 0.4210 0.6825
0.6429 0.5790 0.3175
0.1421 0.7146 0.2605
0.4156 0.8623 0.8154
0.5844 0.1377 0.1846
0.8579 0.2854 0.7395
0.0224 0.4179 0.7804
0.0286 0.8706 0.3847
0.2595 0.8817 0.0384
0.2789 0.7186 0.7539
0.3206 0.5405 0.3727
0.3605 0.2616 0.1221
0.4268 0.1078 0.6700
0.5732 0.8922 0.3300
0.6395 0.7384 0.8779
0.6794 0.4595 0.6273
0.7211 0.2814 0.2461
0.7405 0.1183 0.9616
0.9714 0.1294 0.6153
0.9776 0.5821 0.2196
```

Output
Its energy above the most stable polymorph in this dataset is 0.032 eV per atom.



# ZnCoP2O7

A crystal of ZnCoP2O7 relaxed with PBEsol (SCAN, Alexandria via LeMat-Bulk).

Geometry as POSCAR:
```
ZnCoP2O7
1.0
6.9740 0.0000 0.0000
0.0000 8.2859 0.0000
-3.6016 0.0000 8.2638
Zn Co P O
4 4 8 28
Direct
0.1958 0.0593 0.3178
0.1958 0.4407 0.8178
0.8042 0.5593 0.1822
0.8042 0.9407 0.6822
0.2696 0.0694 0.8951
0.2696 0.4306 0.3951
0.7304 0.5694 0.6049
0.7304 0.9306 0.1049
0.0318 0.7252 0.9683
0.0318 0.7748 0.4683
0.4434 0.7339 0.2610
0.4434 0.7661 0.7610
0.5566 0.2339 0.2390
0.5566 0.2661 0.7390
0.9682 0.2252 0.5317
0.9682 0.2748 0.0317
0.0183 0.0896 0.6571
0.0183 0.4104 0.1571
0.0570 0.6096 0.3997
0.0570 0.8904 0.8997
0.1257 0.2350 0.4519
0.1257 0.2650 0.9519
0.2505 0.6712 0.1029
0.2505 0.8288 0.6029
0.3767 0.2455 0.2963
0.3767 0.2545 0.7963
0.3921 0.6084 0.8192
0.3921 0.8916 0.3192
0.4818 0.5950 0.3829
0.4818 0.9050 0.8829
0.5182 0.0950 0.1171
0.5182 0.4050 0.6171
0.6079 0.1084 0.6808
0.6079 0.3916 0.1808
0.6233 0.7455 0.2037
0.6233 0.7545 0.7037
0.7495 0.1712 0.3971
0.7495 0.3288 0.8971
0.8743 0.7350 0.0481
0.8743 0.7650 0.5481
0.9430 0.1096 0.1003
0.9430 0.3904 0.6003
0.9817 0.5896 0.8429
0.9817 0.9104 0.3429
```

Output
Its energy above the most stable polymorph in this dataset is 0.000 eV per atom.



# TiCoPdO2

A crystal of TiCoPdO2 relaxed with PBEsol (SCAN, Alexandria via LeMat-Bulk).

Geometry as POSCAR:
```
TiCoPdO2
1.0
3.5790 0.0000 0.0000
0.0000 3.5790 0.0000
0.0000 0.0000 4.8376
Ti Co Pd O
1 1 1 2
Direct
0.0000 0.0000 0.0000
0.0000 0.0000 0.5000
0.5000 0.5000 0.0000
0.0000 0.5000 0.5000
0.5000 0.0000 0.5000
```



# PrCoO3

A crystal of PrCoO3 relaxed with PBEsol (SCAN, Alexandria via LeMat-Bulk).

Geometry as POSCAR:
```
PrCoO3
1.0
5.3139 0.0000 0.0000
0.0000 7.5352 0.0000
0.0000 0.0000 5.3461
Pr Co O
4 4 12
Direct
0.0367 0.2500 0.0068
0.4633 0.7500 0.5068
0.5367 0.2500 0.4932
0.9633 0.7500 0.9932
0.0000 0.0000 0.5000
0.0000 0.5000 0.5000
0.5000 0.0000 0.0000
0.5000 0.5000 0.0000
0.0047 0.7500 0.4310
0.2170 0.5371 0.7827
0.2170 0.9629 0.7827
0.2830 0.0371 0.2827
0.2830 0.4629 0.2827
0.4953 0.2500 0.9310
0.5047 0.7500 0.0690
0.7170 0.5371 0.7173
0.7170 0.9629 0.7173
0.7830 0.0371 0.2173
0.7830 0.4629 0.2173
0.9953 0.2500 0.5690
```



# CoPtO2

A crystal of CoPtO2 relaxed with PBEsol (SCAN, Alexandria via LeMat-Bulk).

Geometry as POSCAR:
```
CoPtO2
1.0
1.4045 0.8109 5.9023
-1.4045 0.8109 5.9023
0.0000 -1.6217 5.9023
Co Pt O
1 1 2
Direct
0.0000 0.0000 0.0000
0.5000 0.5000 0.5000
0.3878 0.3878 0.3878
0.6122 0.6122 0.6122
```



# SrCo2PtO

A crystal of SrCo2PtO relaxed with PBEsol (SCAN, Alexandria via LeMat-Bulk).

Geometry as POSCAR:
```
SrCo2PtO
1.0
3.9168 0.0000 0.0000
0.0000 3.9168 0.0000
0.0000 0.0000 4.7835
Sr Co Pt O
1 2 1 1
Direct
0.0000 0.0000 0.0000
0.0000 0.5000 0.5000
0.5000 0.0000 0.5000
0.5000 0.5000 0.0000
0.0000 0.0000 0.5000
```



# RbCoO2

A crystal of RbCoO2 relaxed with PBEsol (SCAN, Alexandria via LeMat-Bulk).

Geometry as POSCAR:
```
RbCoO2
1.0
0.0000 2.9505 2.9505
2.9505 0.0000 2.9505
2.9505 2.9505 0.0000
Rb Co O
1 1 2
Direct
0.0000 0.0000 0.0000
0.5000 0.5000 0.5000
0.2500 0.2500 0.2500
0.7500 0.7500 0.7500
```



# Rb5Co2O4

A crystal of Rb5Co2O4 relaxed with PBEsol (SCAN, Alexandria via LeMat-Bulk).

Geometry as POSCAR:
```
Rb5Co2O4
1.0
6.9161 0.0000 0.0000
2.9212 8.6360 0.0000
0.0957 4.7137 8.2259
Rb Co O
10 4 8
Direct
0.0917 0.1738 0.2195
0.1010 0.5621 0.2200
0.2733 0.9474 0.9774
0.3739 0.3628 0.6346
0.3790 0.8298 0.6178
0.6210 0.1702 0.3822
0.6261 0.6372 0.3654
0.7267 0.0526 0.0226
0.8990 0.4379 0.7800
0.9083 0.8262 0.7805
0.0125 0.2088 0.5773
0.3871 0.4235 0.9699
0.6129 0.5765 0.0301
0.9875 0.7912 0.4227
0.1951 0.7947 0.3192
0.2275 0.2063 0.4824
0.3099 0.2657 0.9538
0.3208 0.6443 0.9521
0.6792 0.3557 0.0479
0.6901 0.7343 0.0462
0.7725 0.7937 0.5176
0.8049 0.2053 0.6808
```



Looking at energy relative to the elements, uncorrected for the records above, in order, we have 0.7 -92.6 -89.2 -87.9 -83.6 -45.1 -23.2 -23.6 -1.1 -13.2 -4.8 -2.4 0.2 -13.9 eV per formula unit.
Looking at E_tot for the records above, in order, we have -22.044 -11.242 -12.598 -11.237 -12.563 -10.880 -10.768 -10.800 -15.930 -18.498 -26.178 -27.142 -12.585 -16.105 eV/atom.